*P*
Entry from Alexandria: a crystal of ZrCo2Os relaxed with PBEsol (SCAN).

Summary:
The calculation puts the size of the total moment at 2.9 Bohr magnetons per cell. The value obtained for the calculated volume is 13.8 Å³ per atom.

```
data_ZrCo2Os
_chemical_formula_sum 'Zr1 Co2 Os1'
_cell_length_a 2.9944
_cell_length_b 3.2561
_cell_length_c 5.6462
_cell_angle_alpha 90.00
_cell_angle_beta 90.00
_cell_angle_gamma 90.00
_symmetry_space_group_name_H-M 'P m m 2'
_symmetry_Int_Tables_number 25
_symmetry_space_group_name_Hall 'P 2 -2'
loop_
_atom_site_label
_atom_site_type_symbol
_atom_site_fract_x
_atom_site_fract_y
_atom_site_fract_z
_atom_site_occupancy
Zr1 Zr 0.0000 0.0000 0.0000 1
Co1 Co 0.0000 0.0000 0.4839 1
Co2 Co 0.5000 0.5000 0.2566 1
Os1 Os 0.5000 0.5000 0.6870 1
```



*Q*
Entry from Alexandria: a crystal of ZrCo2Os relaxed with PBEsol (SCAN).

Summary:
The calculation puts the size of the total moment at 1.5 Bohr magnetons per cell. The value obtained for the calculated volume is 13.4 Å³ per atom.

```
data_ZrCo2Os
_chemical_formula_sum 'Zr1 Co2 Os1'
_cell_length_a 2.7704
_cell_length_b 4.0290
_cell_length_c 4.9995
_cell_angle_alpha 90.00
_cell_angle_beta 105.97
_cell_angle_gamma 90.00
_symmetry_space_group_name_H-M 'P 1 m 1'
_symmetry_Int_Tables_number 6
_symmetry_space_group_name_Hall 'P -2y'
loop_
_atom_site_label
_atom_site_type_symbol
_atom_site_fract_x
_atom_site_fract_y
_atom_site_fract_z
_atom_site_occupancy
Zr1 Zr 0.0000 0.0000 0.0000 1
Co1 Co 0.5946 0.5000 0.1907 1
Co2 Co 0.7344 0.0000 0.4742 1
Os1 Os 0.3085 0.5000 0.6212 1
```



It is *P* that is the most stable of them.



*P*
Entry from Alexandria: a crystal of Co4P relaxed with PBEsol (SCAN).

Summary:
The calculation puts the size of the total moment at 12.4 Bohr magnetons per cell. The value obtained for the calculated volume is 12.4 Å³ per atom.

```
data_Co4P
_chemical_formula_sum 'Co8 P2'
_cell_length_a 4.9885
_cell_length_b 4.9885
_cell_length_c 4.9885
_cell_angle_alpha 90.00
_cell_angle_beta 90.00
_cell_angle_gamma 90.00
_symmetry_space_group_name_H-M 'I m -3 m'
_symmetry_Int_Tables_number 229
_symmetry_space_group_name_Hall '-I 4 2 3'
loop_
_atom_site_label
_atom_site_type_symbol
_atom_site_fract_x
_atom_site_fract_y
_atom_site_fract_z
_atom_site_occupancy
Co1 Co 0.2500 0.2500 0.2500 1
P1 P 0.0000 0.0000 0.0000 1
```



*Q*
Entry from Alexandria: a crystal of Co4P relaxed with PBEsol (SCAN).

Summary:
The calculation puts the size of the total moment at 11.2 Bohr magnetons per cell. The value obtained for the calculated volume is 10.0 Å³ per atom.

```
data_Co4P
_chemical_formula_sum 'Co8 P2'
_cell_length_a 5.3451
_cell_length_b 5.3451
_cell_length_c 3.5095
_cell_angle_alpha 90.00
_cell_angle_beta 90.00
_cell_angle_gamma 90.00
_symmetry_space_group_name_H-M 'I 4/m'
_symmetry_Int_Tables_number 87
_symmetry_space_group_name_Hall '-I 4'
loop_
_atom_site_label
_atom_site_type_symbol
_atom_site_fract_x
_atom_site_fract_y
_atom_site_fract_z
_atom_site_occupancy
Co1 Co 0.1074 0.3054 0.0000 1
P1 P 0.0000 0.0000 0.5000 1
```



It is *Q* that is the most stable of them.



*P*
Entry from Alexandria: a crystal of CoReP relaxed with PBEsol (SCAN).

Summary:
The calculation puts the size of the total moment at 1.0 Bohr magnetons per cell. The value obtained for the calculated volume is 12.0 Å³ per atom.

```
data_CoReP
_chemical_formula_sum 'Co1 Re1 P1'
_cell_length_a 3.9118
_cell_length_b 3.9118
_cell_length_c 2.7251
_cell_angle_alpha 90.00
_cell_angle_beta 90.00
_cell_angle_gamma 120.00
_symmetry_space_group_name_H-M 'P 3 m 1'
_symmetry_Int_Tables_number 156
_symmetry_space_group_name_Hall 'P 3 -2"'
loop_
_atom_site_label
_atom_site_type_symbol
_atom_site_fract_x
_atom_site_fract_y
_atom_site_fract_z
_atom_site_occupancy
Co1 Co 0.0000 0.0000 0.0000 1
Re1 Re 0.6667 0.3333 0.4761 1
P1 P 0.3333 0.6667 0.1888 1
```



*Q*
Entry from Alexandria: a crystal of CoReP relaxed with PBEsol (SCAN).

Summary:
The calculation puts the size of the total moment at 3.5 Bohr magnetons per cell. The value obtained for the calculated volume is 11.6 Å³ per atom.

```
data_CoReP
_chemical_formula_sum 'Co4 Re4 P4'
_cell_length_a 5.5766
_cell_length_b 3.7524
_cell_length_c 6.6377
_cell_angle_alpha 90.00
_cell_angle_beta 90.00
_cell_angle_gamma 90.00
_symmetry_space_group_name_H-M 'P n m a'
_symmetry_Int_Tables_number 62
_symmetry_space_group_name_Hall '-P 2ac 2n'
loop_
_atom_site_label
_atom_site_type_symbol
_atom_site_fract_x
_atom_site_fract_y
_atom_site_fract_z
_atom_site_occupancy
Co1 Co 0.1420 0.2500 0.0714 1
Re1 Re 0.0272 0.2500 0.6699 1
P1 P 0.2385 0.7500 0.8805 1
```



*R*
Entry from Alexandria: a crystal of CoReP relaxed with PBEsol (SCAN).

Summary:
The calculation puts the size of the total moment at 0.0 Bohr magnetons per cell. The value obtained for the calculated volume is 11.8 Å³ per atom.

```
data_CoReP
_chemical_formula_sum 'Co2 Re2 P2'
_cell_length_a 2.8383
_cell_length_b 2.8383
_cell_length_c 8.7612
_cell_angle_alpha 90.00
_cell_angle_beta 90.00
_cell_angle_gamma 90.00
_symmetry_space_group_name_H-M 'I 4 m m'
_symmetry_Int_Tables_number 107
_symmetry_space_group_name_Hall 'I 4 -2'
loop_
_atom_site_label
_atom_site_type_symbol
_atom_site_fract_x
_atom_site_fract_y
_atom_site_fract_z
_atom_site_occupancy
Co1 Co 0.0000 0.0000 0.0000 1
Re1 Re 0.0000 0.0000 0.2989 1
P1 P 0.0000 0.0000 0.6368 1
```



It is *Q* that is the most stable of them.



*P*
Entry from Alexandria: a crystal of CoReP2 relaxed with PBEsol (SCAN).

Summary:
The calculation puts the size of the total moment at 0.0 Bohr magnetons per cell. The value obtained for the calculated volume is 12.2 Å³ per atom.

```
data_CoReP2
_chemical_formula_sum 'Co2 Re2 P4'
_cell_length_a 7.3264
_cell_length_b 2.8827
_cell_length_c 4.6881
_cell_angle_alpha 90.00
_cell_angle_beta 100.70
_cell_angle_gamma 90.00
_symmetry_space_group_name_H-M 'C 1 2/m 1'
_symmetry_Int_Tables_number 12
_symmetry_space_group_name_Hall '-C 2y'
loop_
_atom_site_label
_atom_site_type_symbol
_atom_site_fract_x
_atom_site_fract_y
_atom_site_fract_z
_atom_site_occupancy
Co1 Co 0.0000 0.0000 0.0000 1
Re1 Re 0.0000 0.5000 0.5000 1
P1 P 0.2455 0.0000 0.7590 1
```



*Q*
Entry from Alexandria: a crystal of CoReP2 relaxed with PBEsol (SCAN).

Summary:
The calculation puts the size of the total moment at 0.1 Bohr magnetons per cell. The value obtained for the calculated volume is 12.5 Å³ per atom.

```
data_CoReP2
_chemical_formula_sum 'Co4 Re4 P8'
_cell_length_a 5.8534
_cell_length_b 5.8534
_cell_length_c 5.8534
_cell_angle_alpha 90.00
_cell_angle_beta 90.00
_cell_angle_gamma 90.00
_symmetry_space_group_name_H-M 'F -4 3 m'
_symmetry_Int_Tables_number 216
_symmetry_space_group_name_Hall 'F -4 2 3'
loop_
_atom_site_label
_atom_site_type_symbol
_atom_site_fract_x
_atom_site_fract_y
_atom_site_fract_z
_atom_site_occupancy
Co1 Co 0.0000 0.0000 0.0000 1
Re1 Re 0.2500 0.2500 0.2500 1
P1 P 0.0000 0.0000 0.5000 1
P2 P 0.2500 0.2500 0.7500 1
```



It is *P* that is the most stable of them.



*P*
Entry from Alexandria: a crystal of CoTcP2 relaxed with PBEsol (SCAN).

Summary:
The calculation puts the size of the total moment at 0.0 Bohr magnetons per cell. The value obtained for the calculated volume is 11.8 Å³ per atom.

```
data_CoTcP2
_chemical_formula_sum 'Co2 Tc2 P4'
_cell_length_a 7.9532
_cell_length_b 2.9669
_cell_length_c 4.1299
_cell_angle_alpha 90.00
_cell_angle_beta 103.77
_cell_angle_gamma 90.00
_symmetry_space_group_name_H-M 'C 1 m 1'
_symmetry_Int_Tables_number 8
_symmetry_space_group_name_Hall 'C -2y'
loop_
_atom_site_label
_atom_site_type_symbol
_atom_site_fract_x
_atom_site_fract_y
_atom_site_fract_z
_atom_site_occupancy
Co1 Co 0.0000 0.0000 0.0000 1
Tc1 Tc 0.2725 0.5000 0.4165 1
P1 P 0.0075 0.5000 0.5696 1
P2 P 0.2706 0.0000 0.9174 1
```



*Q*
Entry from Alexandria: a crystal of CoTcP2 relaxed with PBEsol (SCAN).

Summary:
The calculation puts the size of the total moment at 5.6 Bohr magnetons per cell. The value obtained for the calculated volume is 11.8 Å³ per atom.

```
data_CoTcP2
_chemical_formula_sum 'Co4 Tc4 P8'
_cell_length_a 5.7346
_cell_length_b 5.7346
_cell_length_c 5.7346
_cell_angle_alpha 90.00
_cell_angle_beta 90.00
_cell_angle_gamma 90.00
_symmetry_space_group_name_H-M 'F m -3 m'
_symmetry_Int_Tables_number 225
_symmetry_space_group_name_Hall '-F 4 2 3'
loop_
_atom_site_label
_atom_site_type_symbol
_atom_site_fract_x
_atom_site_fract_y
_atom_site_fract_z
_atom_site_occupancy
Co1 Co 0.0000 0.0000 0.0000 1
Tc1 Tc 0.0000 0.0000 0.5000 1
P1 P 0.2500 0.2500 0.2500 1
```



It is *P* that is the most stable of them.



*P*
Entry from Alexandria: a crystal of TlCoP2 relaxed with PBEsol (SCAN).

Summary:
The calculation puts the size of the total moment at 0.0 Bohr magnetons per cell. The value obtained for the calculated volume is 17.4 Å³ per atom.

```
data_TlCoP2
_chemical_formula_sum 'Tl2 Co2 P4'
_cell_length_a 6.5735
_cell_length_b 3.3840
_cell_length_c 6.4661
_cell_angle_alpha 90.00
_cell_angle_beta 104.96
_cell_angle_gamma 90.00
_symmetry_space_group_name_H-M 'C 1 2/m 1'
_symmetry_Int_Tables_number 12
_symmetry_space_group_name_Hall '-C 2y'
loop_
_atom_site_label
_atom_site_type_symbol
_atom_site_fract_x
_atom_site_fract_y
_atom_site_fract_z
_atom_site_occupancy
Tl1 Tl 0.0000 0.0000 0.0000 1
Co1 Co 0.0000 0.5000 0.5000 1
P1 P 0.2194 0.0000 0.6322 1
```



*Q*
Entry from Alexandria: a crystal of TlCoP2 relaxed with PBEsol (SCAN).

Summary:
The calculation puts the size of the total moment at 0.0 Bohr magnetons per cell. The value obtained for the calculated volume is 17.1 Å³ per atom.

```
data_TlCoP2
_chemical_formula_sum 'Tl1 Co1 P2'
_cell_length_a 3.6759
_cell_length_b 3.3136
_cell_length_c 5.8314
_cell_angle_alpha 90.00
_cell_angle_beta 105.66
_cell_angle_gamma 90.00
_symmetry_space_group_name_H-M 'P 1 m 1'
_symmetry_Int_Tables_number 6
_symmetry_space_group_name_Hall 'P -2y'
loop_
_atom_site_label
_atom_site_type_symbol
_atom_site_fract_x
_atom_site_fract_y
_atom_site_fract_z
_atom_site_occupancy
Tl1 Tl 0.0000 0.0000 0.0000 1
Co1 Co 0.6285 0.5000 0.2627 1
P1 P 0.2000 0.5000 0.4975 1
P2 P 0.6082 0.0000 0.5149 1
```



*R*
Entry from Alexandria: a crystal of TlCoP2 relaxed with PBEsol (SCAN).

Summary:
The calculation puts the size of the total moment at 0.0 Bohr magnetons per cell. The value obtained for the calculated volume is 17.5 Å³ per atom.

```
data_TlCoP2
_chemical_formula_sum 'Tl1 Co1 P2'
_cell_length_a 4.3044
_cell_length_b 3.6211
_cell_length_c 4.8747
_cell_angle_alpha 90.00
_cell_angle_beta 112.65
_cell_angle_gamma 90.00
_symmetry_space_group_name_H-M 'P 1 2/m 1'
_symmetry_Int_Tables_number 10
_symmetry_space_group_name_Hall '-P 2y'
loop_
_atom_site_label
_atom_site_type_symbol
_atom_site_fract_x
_atom_site_fract_y
_atom_site_fract_z
_atom_site_occupancy
Tl1 Tl 0.0000 0.0000 0.0000 1
Co1 Co 0.5000 0.0000 0.5000 1
P1 P 0.2784 0.5000 0.6067 1
```



It is *P* that is the most stable of them.